TbHg2Ge | PBE | relaxed

Results
Formation energy ... -1.57 eV/f.u.
Calculated volume ... 22.9 Å³/atom
Total DFT energy (no corrections) ... -2.8545 eV per atom
Total moment ... 0.000 μB per cell
Fermi-level density of states ... 0.27 states/eV per atom
Polymorph energy (0 for the lowest one) ... 0.0 meV per atom
SG ... P4/mmm

```
TbHg2Ge
1.0
4.313 0.000 0.000
0.000 4.313 0.000
0.000 0.000 4.921
Tb Hg Ge
1 2 1
direct
0.000 0.000 0.000
0.000 0.500 0.500
0.500 0.000 0.500
0.500 0.500 0.000
```